The following is a DFT calculation (GGA-PBE) of a geometry-optimized CoH2SI structure.

Lattice parameters (Å, degrees): 3.522 3.522 8.280 90.00 90.00 90.00
Atoms (fractional coordinates):
Co  0.000  0.000  0.000
H  0.000  0.500  0.500
H  0.500  0.000  0.500
S  0.500  0.500  0.500
I  0.500  0.500  0.000

The following is a DFT calculation (GGA-PBE) of a geometry-optimized CoHS2I structure.

Lattice parameters (Å, degrees): 4.857 4.857 3.333 90.00 90.00 90.00
Atoms (fractional coordinates):
Co  0.000  0.000  0.000
H  0.000  0.000  0.500
S  0.000  0.500  0.500
S  0.500  0.000  0.500
I  0.500  0.500  0.000

The following is a DFT calculation (GGA-PBE) of a geometry-optimized CoSb2HI structure.

Lattice parameters (Å, degrees): 4.326 4.326 5.499 90.00 90.00 90.00
Atoms (fractional coordinates):
Co  0.000  0.000  0.000
Sb  0.000  0.500  0.500
Sb  0.500  0.000  0.500
H  0.500  0.500  0.500
I  0.500  0.500  0.000

## Properties
The offset from the most stable computed form comes out at 165 meV per atom.

The following is a DFT calculation (GGA-PBE) of a geometry-optimized CoSb2HI structure.

Lattice parameters (Å, degrees): 4.834 4.834 5.745 90.00 90.00 90.00
Atoms (fractional coordinates):
Co  0.000  0.000  0.000
Sb  0.000  0.500  0.000
Sb  0.500  0.000  0.000
H  0.500  0.500  0.500
I  0.000  0.000  0.500

## Properties
The offset from the most stable computed form comes out at 0 meV per atom.

The following is a DFT calculation (GGA-PBE) of a geometry-optimized Sm6Co2HI3 structure.

Lattice parameters (Å, degrees): 6.931 6.931 8.294 98.08 98.08 119.83
Atoms (fractional coordinates):
Sm  0.098  0.441  0.820
Sm  0.217  0.217  0.180
Sm  0.441  0.098  0.820
Sm  0.559  0.902  0.180
Sm  0.783  0.783  0.820
Sm  0.902  0.559  0.180
Co  0.166  0.834  0.000
Co  0.834  0.166  0.000
H  0.500  0.500  0.000
I  0.000  0.000  0.500
I  0.333  0.667  0.500
I  0.667  0.333  0.500

The following is a DFT calculation (GGA-PBE) of a geometry-optimized TiCoHI2 structure.

Lattice parameters (Å, degrees): 5.520 5.520 4.617 90.00 90.00 90.00
Atoms (fractional coordinates):
Ti  0.000  0.000  0.000
Co  0.000  0.000  0.500
H  0.500  0.500  0.500
I  0.000  0.500  0.000
I  0.500  0.000  0.000

The following is a DFT calculation (GGA-PBE) of a geometry-optimized In2Co2H structure.

Lattice parameters (Å, degrees): 5.209 5.209 5.822 90.00 90.00 90.00
Atoms (fractional coordinates):
In  0.000  0.500  0.250
In  0.000  0.500  0.750
In  0.500  0.000  0.250
In  0.500  0.000  0.750
Co  0.000  0.000  0.192
Co  0.000  0.000  0.808
Co  0.500  0.500  0.308
Co  0.500  0.500  0.692
H  0.000  0.000  0.500
H  0.500  0.500  0.000

## Properties
The offset from the most stable computed form comes out at 112 meV per atom.

The following is a DFT calculation (GGA-PBE) of a geometry-optimized InCoH2 structure.

Lattice parameters (Å, degrees): 2.981 2.981 14.857 90.00 90.00 120.00
Atoms (fractional coordinates):
In  0.000  0.000  0.000
In  0.333  0.667  0.667
In  0.667  0.333  0.333
Co  0.000  0.000  0.500
Co  0.333  0.667  0.167
Co  0.667  0.333  0.833
H  0.000  0.000  0.189
H  0.000  0.000  0.811
H  0.333  0.667  0.477
H  0.333  0.667  0.856
H  0.667  0.333  0.144
H  0.667  0.333  0.523

## Properties
The offset from the most stable computed form comes out at 168 meV per atom.

no.,uncorrected energy (eV per atom)
1,-3.32
2,-3.10
3,-3.18
4,-3.34
5,-4.81
6,-3.54
7,-4.13
8,-3.92